Version a
TmZrH2 PBE-GGA relaxed; total magnetization = 0.00 μB/cell; symmetry = R-3m (166)
1.0
1.670 0.964 5.480
-1.670 0.964 5.480
0.000 -1.928 5.480
Tm Zr H
1 1 2
direct
0.000 0.000 0.000
0.500 0.500 0.500
0.233 0.233 0.233
0.767 0.767 0.767

---

Version b
TmZrH2 PBE-GGA relaxed; total magnetization = 0.00 μB/cell; symmetry = R3m (160)
1.0
1.668 0.963 5.541
-1.668 0.963 5.541
0.000 -1.926 5.541
Tm Zr H
1 1 2
direct
0.000 0.000 0.000
0.821 0.821 0.821
0.419 0.419 0.419
0.569 0.569 0.569

---

Winner for stability: version a